Entry 1:
Below is a relaxed CuHgPdAu crystal, with properties calculated at the PBE level.

Values from the calculation:
E_form in kJ/mol of formula units: -23
Density in Mg/m³: 14.091
E_tot in eV per atom: -3.2763
DOS at the Fermi energy in states/eV/cell: 1.12

a = 4.052 Å, b = 4.052 Å, c = 4.981 Å
α = 114.00°, β = 114.00°, γ = 90.00°
Sites, in units of the cell vectors:
Pd: 0.000 0.000 0.000
Cu: 0.250 0.750 0.500
Au: 0.500 0.500 0.000
Hg: 0.750 0.250 0.500

=====

Entry 2:
Below is a relaxed RbHg2PbAu crystal, with properties calculated at the PBE level.

Values from the calculation:
Polymorph energy (0 for the lowest one) in meV per atom: 152
E_form in kJ/mol of formula units: -11
Density in Mg/m³: 8.528
E_tot in eV per atom: -1.7341
DOS at the Fermi energy in states/eV/cell: 2.29

a = 5.552 Å, b = 5.552 Å, c = 5.628 Å
α = 90.00°, β = 90.00°, γ = 90.00°
Sites, in units of the cell vectors:
Hg: 0.000 0.500 0.000
Hg: 0.500 0.000 0.000
Pb: 0.000 0.000 0.500
Rb: 0.500 0.500 0.500
Au: 0.000 0.000 0.000

=====

Entry 3:
Below is a relaxed KInAg3 crystal, with properties calculated at the PBE level.

Values from the calculation:
Polymorph energy (0 for the lowest one) in meV per atom: 145
E_form in kJ/mol of formula units: 80
Density in Mg/m³: 5.118
E_tot in eV per atom: -2.3127
DOS at the Fermi energy in states/eV/cell: 1.82

a = 5.371 Å, b = 5.371 Å, c = 5.371 Å
α = 90.00°, β = 90.00°, γ = 90.00°
Sites, in units of the cell vectors:
K: 0.500 0.500 0.500
Ag: 0.000 0.000 0.500
Ag: 0.500 0.000 0.000
Ag: 0.000 0.500 0.000
In: 0.000 0.000 0.000

=====

Entry 4:
Below is a relaxed CeSmTm2Hg4 crystal, with properties calculated at the PBE level.

Values from the calculation:
E_form in kJ/mol of formula units: -321
Density in Mg/m³: 11.250
E_tot in eV per atom: -3.0169
DOS at the Fermi energy in states/eV/cell: 14.52

a = 5.304 Å, b = 5.304 Å, c = 9.192 Å
α = 73.23°, β = 73.23°, γ = 60.00°
Each line ends with the local moment (μB).
Sites, in units of the cell vectors:
Hg: 0.876 0.876 0.372  0.01
Hg: 0.124 0.124 0.628  0.01
Hg: 0.374 0.374 0.877  0.01
Hg: 0.626 0.626 0.123  0.01
Tm: 0.250 0.250 0.252  0.14
Tm: 0.750 0.750 0.748  0.14
Sm: 0.000 0.000 0.000  0.06
Ce: 0.500 0.500 0.500  0.91

=====

Entry 5:
Below is a relaxed AgAuS2Cl crystal, with properties calculated at the PBE level.

Values from the calculation:
Polymorph energy (0 for the lowest one) in meV per atom: 248
Density in Mg/m³: 5.750
E_tot in eV per atom: -2.4437
DOS at the Fermi energy in states/eV/cell: 5.79

a = 4.895 Å, b = 4.895 Å, c = 4.875 Å
α = 90.00°, β = 90.00°, γ = 90.00°
Each line ends with the local moment (μB).
Sites, in units of the cell vectors:
Cl: 0.000 0.000 0.500  0.04
S: 0.000 0.500 0.000  0.39
S: 0.500 0.000 0.000  0.39
Ag: 0.000 0.000 0.000  0.04
Au: 0.500 0.500 0.500  0.09

=====

Entry 6:
Below is a relaxed Pr4Tm3ScS8 crystal, with properties calculated at the PBE level.

Values from the calculation:
Density in Mg/m³: 6.484
E_tot in eV per atom: -6.4635
DOS at the Fermi energy in states/eV/cell: 5.90

a = 7.790 Å, b = 8.058 Å, c = 7.789 Å
α = 118.90°, β = 120.00°, γ = 90.00°
Sites, in units of the cell vectors:
Pr: 0.500 0.000 0.000
Pr: 0.000 0.000 0.000
Pr: 0.500 0.000 0.500
Pr: 0.000 0.000 0.500
S: 0.745 0.721 0.983
S: 0.238 0.721 0.983
S: 0.762 0.279 0.017
S: 0.238 0.721 0.476
S: 0.741 0.724 0.483
S: 0.259 0.276 0.517
S: 0.762 0.279 0.524
S: 0.255 0.279 0.017
Tm: 0.000 0.500 0.500
Tm: 0.500 0.500 0.000
Tm: 0.500 0.500 0.500
Sc: 0.000 0.500 0.000

=====

Entry 7:
Below is a relaxed SrScBe2 crystal, with properties calculated at the PBE level.

Values from the calculation:
Polymorph energy (0 for the lowest one) in meV per atom: 258
E_form in kJ/mol of formula units: 177
Density in Mg/m³: 3.030
E_tot in eV per atom: -3.4084
DOS at the Fermi energy in states/eV/cell: 3.64

a = 4.887 Å, b = 4.887 Å, c = 4.887 Å
α = 60.00°, β = 60.00°, γ = 60.00°
Sites, in units of the cell vectors:
Sc: 0.000 0.000 0.000
Be: 0.750 0.750 0.750
Be: 0.250 0.250 0.250
Sr: 0.500 0.500 0.500

=====

Entry 8:
Below is a relaxed BaSe2S6 crystal, with properties calculated at the PBE level.

Values from the calculation:
Density in Mg/m³: 3.190
E_tot in eV per atom: -3.9791

a = 6.015 Å, b = 13.335 Å, c = 11.434 Å
α = 75.55°, β = 48.13°, γ = 33.65°
Sites, in units of the cell vectors:
S: 0.914 0.530 0.110
S: 0.250 0.910 0.234
S: 0.406 0.904 0.449
S: 0.086 0.470 0.890
S: 0.750 0.090 0.766
S: 0.594 0.096 0.551
Ba: 0.000 0.000 0.000
Se: 0.468 0.672 0.702
Se: 0.532 0.328 0.298

=====

Entry 9:
Below is a relaxed Li2Th2Bi2S crystal, with properties calculated at the PBE level.

Values from the calculation:
Density in Mg/m³: 8.551
E_tot in eV per atom: -5.2540
DOS at the Fermi energy in states/eV/cell: 3.70

a = 4.607 Å, b = 4.607 Å, c = 9.095 Å
α = 104.67°, β = 104.67°, γ = 90.00°
Sites, in units of the cell vectors:
S: 0.000 0.000 0.000
Bi: 0.636 0.636 0.271
Bi: 0.364 0.364 0.729
Th: 0.833 0.833 0.666
Th: 0.167 0.167 0.334
Li: 0.000 0.500 0.000
Li: 0.500 0.000 0.000

=====

Entry 10:
Below is a relaxed Al3ReOs crystal, with properties calculated at the PBE level.

Values from the calculation:
Polymorph energy (0 for the lowest one) in meV per atom: 0
E_form in kJ/mol of formula units: 473
Density in Mg/m³: 7.609
E_tot in eV per atom: -5.9997
DOS at the Fermi energy in states/eV/cell: 2.73

a = 4.639 Å, b = 4.639 Å, c = 4.639 Å
α = 90.00°, β = 90.00°, γ = 90.00°
Each line ends with the local moment (μB).
Sites, in units of the cell vectors:
Al: 0.000 0.000 0.500  -0.04
Al: 0.000 0.500 0.000  -0.01
Al: 0.500 0.000 0.000  0.01
Os: 0.000 0.000 0.000  0.34
Re: 0.500 0.500 0.500  2.82

=====

Entry 11:
Below is a relaxed MgMo2 crystal, with properties calculated at the PBE level.

Values from the calculation:
Polymorph energy (0 for the lowest one) in meV per atom: 210
E_form in kJ/mol of formula units: 114
Density in Mg/m³: 7.135
E_tot in eV per atom: -7.3574
DOS at the Fermi energy in states/eV/cell: 1.93

a = 7.294 Å, b = 7.294 Å, c = 7.294 Å
α = 158.89°, β = 158.89°, γ = 30.03°
Sites, in units of the cell vectors:
Mo: 0.000 0.000 0.000
Mo: 0.666 0.666 0.000
Mg: 0.333 0.333 0.000

=====

Entry 12:
Below is a relaxed MnNiP2 crystal, with properties calculated at the PBE level.

Values from the calculation:
E_form in kJ/mol of formula units: 0
Density in Mg/m³: 5.788
E_tot in eV per atom: -6.4431
DOS at the Fermi energy in states/eV/cell: 2.31

a = 7.106 Å, b = 7.106 Å, c = 7.106 Å
α = 23.57°, β = 23.57°, γ = 23.57°
Each line ends with the local moment (μB).
Sites, in units of the cell vectors:
P: 0.246 0.246 0.246  -0.07
P: 0.006 0.006 0.006  -0.01
Ni: 0.741 0.741 0.741  0.05
Mn: 0.508 0.508 0.508  1.44

=====

Which formula does entry 4 have?
CeSmTm2Hg4

=====

Which of these has the lowest density?
SrScBe2